Compound: In3CoSe
Source: the Alexandria database
Functional: PBE
Structure: relaxed

```
5
Lattice="5.451 0.000 0.000 0.000 5.451 0.000 0.000 0.000 5.451" Properties=species:S:1:pos:R:3 pbc="T T T"
Co 2.726 2.726 2.726
Se 0.000 0.000 0.000
In 0.000 2.726 0.000
In 0.000 0.000 2.726
In 2.726 0.000 0.000
```

Values from the calculation:
raw total energy: -2.848 eV/atom
magnetization: 2.00 Bohr magnetons per cell
Fermi-level density of states: 1.967 states/eV per cell
space group: Pm-3m, No. 221
distance to the lowest polymorph of the same formula: 4.40 eV per formula unit
E_form (uncorrected): 441 kJ/mol of formula units